[1]
The following is a DFT calculation (GGA-PBE) of a relaxed Y5MgIn3 crystal.

a = 9.3081 Å, b = 9.3081 Å, c = 6.6447 Å
α = 90.00°, β = 90.00°, γ = 120.00°
Closest atoms and distances in Å follow each position.
Atoms (fractional coordinates):
Y  0.0000  0.3015  0.2500  5 In 3.12-3.37, 2 Mg 3.26
Y  0.0000  0.6985  0.7500  5 In 3.12-3.37, 2 Mg 3.26
Y  0.3015  0.0000  0.2500  5 In 3.12-3.37, 2 Mg 3.26
Y  0.3015  0.3015  0.7500  5 In 3.12-3.37, 2 Mg 3.26
Y  0.3333  0.6667  0.0000  8 Y 3.32-3.66, 6 In 3.42
Y  0.3333  0.6667  0.5000  8 Y 3.32-3.66, 6 In 3.42
Y  0.6667  0.3333  0.0000  8 Y 3.32-3.66, 6 In 3.42
Y  0.6667  0.3333  0.5000  8 Y 3.32-3.66, 6 In 3.42
Y  0.6985  0.0000  0.7500  5 In 3.12-3.37, 2 Mg 3.26
Y  0.6985  0.6985  0.2500  5 In 3.12-3.37, 2 Mg 3.26
Mg  0.0000  0.0000  0.0000  6 Y 3.26, 2 Mg 3.32
Mg  0.0000  0.0000  0.5000  6 Y 3.26, 2 Mg 3.32
In  0.0000  0.3602  0.7500  9 Y 3.12-3.42
In  0.0000  0.6398  0.2500  9 Y 3.12-3.42
In  0.3602  0.0000  0.7500  9 Y 3.12-3.42
In  0.3602  0.3602  0.2500  9 Y 3.12-3.42
In  0.6398  0.0000  0.2500  9 Y 3.12-3.42
In  0.6398  0.6398  0.7500  9 Y 3.12-3.42

As for the total energy: -5.09 eV per atom. As for the space-group type: P6_3/mcm (193). For the formation energy, the calculation gives -410 meV/atom. The value obtained for the mass density is 5.42 Mg/m³. As for the magnetic moment: 0.00 μB per formula unit.


[2]
The following is a DFT calculation (GGA-PBE) of a relaxed Y2MgIn4 crystal.

a = 6.4463 Å, b = 6.4463 Å, c = 4.5181 Å
α = 90.00°, β = 90.00°, γ = 93.38°
Closest atoms and distances in Å follow each position.
Atoms (fractional coordinates):
Y  0.2285  0.2285  0.0000  8 In 3.17-3.29, 2 Mg 3.30
Y  0.7715  0.7715  0.0000  8 In 3.17-3.29, 2 Mg 3.30
Mg  0.5000  0.5000  0.5000  8 In 3.19-3.22, 4 Y 3.30
In  0.0000  0.5000  0.5000  4 In 3.16, 2 Mg 3.22, 4 Y 3.26
In  0.2599  0.7401  0.0000  4 In 3.16, 4 Y 3.17-3.29, 2 Mg 3.19
In  0.5000  0.0000  0.5000  4 In 3.16, 2 Mg 3.22, 4 Y 3.26
In  0.7401  0.2599  0.0000  4 In 3.16, 4 Y 3.17-3.29, 2 Mg 3.19

As for the total energy: -3.95 eV per atom. As for the space-group type: Cmmm (65). For the formation energy, the calculation gives -311 meV/atom. The value obtained for the mass density is 5.86 Mg/m³. As for the magnetic moment: 0.00 μB per formula unit.


[3]
The following is a DFT calculation (GGA-PBE) of a relaxed YMg4In crystal.

a = 5.9633 Å, b = 5.9633 Å, c = 5.9633 Å
α = 60.00°, β = 60.00°, γ = 60.00°
Closest atoms and distances in Å follow each position.
Atoms (fractional coordinates):
Y  0.0000  0.0000  0.0000  12 Mg 3.50, 4 In 3.65
Mg  0.3747  0.3747  0.3747  6 Mg 2.97-2.99
Mg  0.3747  0.3747  0.8759  6 Mg 2.97-2.99
Mg  0.3747  0.8759  0.3747  6 Mg 2.97-2.99
Mg  0.8759  0.3747  0.3747  6 Mg 2.97-2.99
In  0.7500  0.7500  0.7500  12 Mg 3.50, 4 Y 3.65

As for the total energy: -2.62 eV per atom. As for the space-group type: F-43m (216). For the formation energy, the calculation gives -21 meV/atom. The value obtained for the mass density is 3.33 Mg/m³. As for the magnetic moment: 0.00 μB per formula unit.


[4]
The following is a DFT calculation (GGA-PBE) of a relaxed YMgIn2 crystal.

a = 3.9622 Å, b = 3.9622 Å, c = 6.6443 Å
α = 90.00°, β = 90.00°, γ = 90.00°
Closest atoms and distances in Å follow each position.
Atoms (fractional coordinates):
Y  0.0000  0.0000  0.0000  6 In 3.25-3.36, 4 Mg 3.36
Mg  0.5000  0.5000  0.7219  6 In 3.15-3.49, 4 Y 3.36
In  0.0000  0.0000  0.5063  4 Mg 3.15, 2 Y 3.28-3.36, 4 In 3.29
In  0.5000  0.5000  0.2471  2 Mg 3.15-3.49, 4 Y 3.25, 4 In 3.29

As for the total energy: -3.57 eV per atom. As for the space-group type: P4mm (99). For the formation energy, the calculation gives -183 meV/atom. The value obtained for the mass density is 5.46 Mg/m³. As for the magnetic moment: 0.34 μB per formula unit.


[5]
The following is a DFT calculation (GGA-PBE) of a relaxed Y4MgIn crystal.

a = 6.3773 Å, b = 6.3773 Å, c = 6.3773 Å
α = 60.00°, β = 60.00°, γ = 60.00°
Closest atoms and distances in Å follow each position.
Atoms (fractional coordinates):
Y  0.1247  0.1247  0.1247  6 Y 3.18-3.20
Y  0.1247  0.1247  0.6258  6 Y 3.18-3.20
Y  0.1247  0.6258  0.1247  6 Y 3.18-3.20
Y  0.6258  0.1247  0.1247  6 Y 3.18-3.20
Mg  0.5000  0.5000  0.5000  12 Y 3.74, 4 In 3.91
In  0.7500  0.7500  0.7500  12 Y 3.74, 4 Mg 3.91

As for the total energy: -4.80 eV per atom. Its energy relative to the lowest polymorph listed for this composition is 223 meV per atom. As for the space-group type: F-43m (216). For the formation energy, the calculation gives 232 meV/atom. The value obtained for the mass density is 4.48 Mg/m³. As for the magnetic moment: 0.00 μB per formula unit.


[6]
The following is a DFT calculation (GGA-PBE) of a relaxed Y6MgIn3 crystal.

a = 9.3489 Å, b = 5.3847 Å, c = 11.7290 Å
α = 90.00°, β = 108.77°, γ = 90.00°
Closest atoms and distances in Å follow each position.
Atoms (fractional coordinates):
Y  0.0375  0.2500  0.4123  7 In 3.24-3.59, 5 Y 3.47-3.62
Y  0.1593  0.7500  0.1783  5 In 3.20-3.31, 1 Mg 3.26, 2 Y 3.47
Y  0.2510  0.2500  0.0051  4 In 3.19-3.39, 3 Mg 3.27-3.29
Y  0.3417  0.7500  0.8012  3 Mg 3.24-3.28, 3 In 3.30, 4 Y 3.58-3.62
Y  0.3653  0.2500  0.3337  8 Y 3.28-3.65, 3 In 3.39
Y  0.4039  0.2500  0.6216  3 In 3.11-3.22, 1 Mg 3.17, 3 Y 3.28-3.38
Y  0.5961  0.7500  0.3784  3 In 3.11-3.22, 1 Mg 3.17, 3 Y 3.28-3.38
Y  0.6347  0.7500  0.6663  8 Y 3.28-3.65, 3 In 3.39
Y  0.6583  0.2500  0.1988  3 Mg 3.24-3.28, 3 In 3.30, 4 Y 3.58-3.62
Y  0.7490  0.7500  0.9949  4 In 3.19-3.39, 3 Mg 3.27-3.29
Y  0.8407  0.2500  0.8217  5 In 3.20-3.31, 1 Mg 3.26, 2 Y 3.47
Y  0.9625  0.7500  0.5877  7 In 3.24-3.59, 5 Y 3.47-3.62
Mg  0.4588  0.7500  0.0934  8 Y 3.17-3.29
Mg  0.5412  0.2500  0.9066  8 Y 3.17-3.29
In  0.0362  0.7500  0.8839  8 Y 3.20-3.39
In  0.1305  0.2500  0.7181  8 Y 3.11-3.41
In  0.2758  0.7500  0.4733  10 Y 3.22-3.59
In  0.7242  0.2500  0.5267  10 Y 3.22-3.59
In  0.8695  0.7500  0.2819  8 Y 3.11-3.41
In  0.9638  0.2500  0.1161  8 Y 3.20-3.39

As for the total energy: -5.18 eV per atom. As for the space-group type: P2_1/m (11). For the formation energy, the calculation gives -321 meV/atom. The value obtained for the mass density is 5.36 Mg/m³. As for the magnetic moment: 0.02 μB per formula unit.


[7]
The following is a DFT calculation (GGA-PBE) of a relaxed YMgIn crystal.

a = 6.1389 Å, b = 6.1389 Å, c = 6.1389 Å
α = 132.32°, β = 109.19°, γ = 89.89°
Closest atoms and distances in Å follow each position.
Atoms (fractional coordinates):
Y  0.2489  0.0000  0.2489  6 In 3.38-3.39, 6 Mg 3.39, 2 Y 3.54-3.57
Y  0.7511  0.0000  0.7511  6 In 3.38-3.39, 6 Mg 3.39, 2 Y 3.54-3.57
Mg  0.3327  0.3327  0.0000  2 In 2.86, 1 Mg 2.91
Mg  0.6673  0.6673  0.0000  2 In 2.86, 1 Mg 2.91
In  0.1686  0.6686  0.5000  2 Mg 2.86, 1 In 2.93
In  0.8314  0.3314  0.5000  2 Mg 2.86, 1 In 2.93

As for the total energy: -3.92 eV per atom. As for the space-group type: Immm (71). For the formation energy, the calculation gives -323 meV/atom. The value obtained for the mass density is 4.94 Mg/m³. As for the magnetic moment: 0.00 μB per formula unit.


[8]
The following is a DFT calculation (GGA-PBE) of a relaxed Y4MgIn crystal.

a = 3.5560 Å, b = 5.7138 Å, c = 9.1276 Å
α = 90.00°, β = 90.00°, γ = 90.00°
Closest atoms and distances in Å follow each position.
Atoms (fractional coordinates):
Y  0.0000  0.0000  0.1946  2 Mg 3.31, 2 In 3.36, 7 Y 3.50-3.56
Y  0.0000  0.0000  0.8054  2 Mg 3.31, 2 In 3.36, 7 Y 3.50-3.56
Y  0.5000  0.5000  0.3008  2 In 3.27, 2 Mg 3.39, 7 Y 3.50-3.64
Y  0.5000  0.5000  0.6992  2 In 3.27, 2 Mg 3.39, 7 Y 3.50-3.64
Mg  0.5000  0.0000  0.5000  8 Y 3.31-3.39, 2 Mg 3.56
In  0.0000  0.5000  0.0000  8 Y 3.27-3.36, 2 In 3.56

As for the total energy: -5.02 eV per atom. Its energy relative to the lowest polymorph listed for this composition is 0 meV per atom. As for the space-group type: Pmmm (47). For the formation energy, the calculation gives 9 meV/atom. The value obtained for the mass density is 4.43 Mg/m³. As for the magnetic moment: 0.00 μB per formula unit.


[9]
The following is a DFT calculation (GGA-PBE) of a relaxed YMg11In crystal.

a = 7.8119 Å, b = 7.8119 Å, c = 7.7433 Å
α = 98.01°, β = 98.01°, γ = 135.51°
Closest atoms and distances in Å follow each position.
Atoms (fractional coordinates):
Y  0.0000  0.0000  0.0000  18 Mg 3.58-3.91, 2 In 3.91
Mg  0.0000  0.0000  0.5000  2 In 2.96, 8 Mg 2.98-3.11
Mg  0.0000  0.5000  0.0000  10 Mg 2.96-3.12
Mg  0.0049  0.6538  0.6494  8 Mg 3.04-3.33, 1 In 3.15
Mg  0.2860  0.4964  0.7897  6 Mg 2.96-3.26, 1 In 2.97
Mg  0.3462  0.9951  0.3506  8 Mg 3.04-3.33, 1 In 3.15
Mg  0.4964  0.2860  0.7897  6 Mg 2.96-3.26, 1 In 2.97
Mg  0.5000  0.0000  0.0000  10 Mg 2.96-3.12
Mg  0.5036  0.7140  0.2103  6 Mg 2.96-3.26, 1 In 2.97
Mg  0.6538  0.0049  0.6494  8 Mg 3.04-3.33, 1 In 3.15
Mg  0.7140  0.5036  0.2103  6 Mg 2.96-3.26, 1 In 2.97
Mg  0.9951  0.3462  0.3506  8 Mg 3.04-3.33, 1 In 3.15
In  0.5000  0.5000  0.5000  10 Mg 2.96-3.15

As for the total energy: -2.11 eV per atom. As for the space-group type: C2/m (12). For the formation energy, the calculation gives -51 meV/atom. The value obtained for the mass density is 2.54 Mg/m³. As for the magnetic moment: 0.00 μB per formula unit.


[10]
The following is a DFT calculation (GGA-PBE) of a relaxed YMgIn crystal.

a = 6.8006 Å, b = 6.8006 Å, c = 6.8006 Å
α = 150.37°, β = 150.37°, γ = 42.40°
Closest atoms and distances in Å follow each position.
Atoms (fractional coordinates):
Y  0.0000  0.0000  0.0000  4 In 3.28, 4 Mg 3.38, 4 Y 3.48
Mg  0.3174  0.3174  0.0000  4 In 3.08, 4 Y 3.38
In  0.6714  0.6714  0.0000  4 Mg 3.08, 4 Y 3.28

As for the total energy: -3.86 eV per atom. As for the space-group type: I4mm (107). For the formation energy, the calculation gives -258 meV/atom. The value obtained for the mass density is 4.94 Mg/m³. As for the magnetic moment: 0.34 μB per formula unit.